A plane-wave DFT calculation with PBE was carried out for a geometry-optimized Pm3Zn8Ga3 structure.

**SG**: Immm, No. 71
**Energy**: -2.782 eV/atom
**Energy relative to the elements**: -0.3871 eV/atom
**DOS(E_F)**: 6.3 states/eV/f.u.

a = 4.3480 Å, b = 8.2774 Å, c = 8.2774 Å
α = 71.51°, β = 74.77°, γ = 74.77°
Element x y z (fractional)
Pm 0.8133 0.1867 0.1867
Pm 0.1867 0.8133 0.8133
Pm 0.5000 0.5000 0.5000
Zn 0.3583 0.9127 0.3707
Zn 0.6417 0.0873 0.6293
Zn 0.3583 0.3707 0.9127
Zn 0.6417 0.6293 0.0873
Zn 0.8354 0.5343 0.7949
Zn 0.1646 0.4657 0.2051
Zn 0.1646 0.2051 0.4657
Zn 0.8354 0.7949 0.5343
Ga 0.0000 0.2180 0.7820
Ga 0.5000 0.0000 0.0000
Ga 0.0000 0.7820 0.2180